First-principles (PBE) data for an optimized crystal structure of Ta2Cu2Sn, as listed in Alexandria.

Cell: 6.551 6.551 3.814 Å, 90.00 90.00 90.00°
Positions (direct):
1 Ta 0.167 0.667 0.500
2 Cu 0.127 0.373 0.000
3 Cu 0.373 0.873 0.000
4 Sn 0.500 0.500 0.000
5 Ta 0.667 0.833 0.500
6 Sn 0.000 0.000 0.000
7 Cu 0.627 0.127 0.000
8 Cu 0.873 0.627 0.000
9 Ta 0.333 0.167 0.500
10 Ta 0.833 0.333 0.500

Space group: P4/mbm
Energy of formation from the pure elements (eV/atom): 0.1750